(1)
This record from Alexandria describes a relaxed LaAgIrO6 crystal. The functional is PBE-GGA.

a = 5.8060 Å, b = 5.8060 Å, c = 8.6461 Å
α = 90.00°, β = 90.00°, γ = 120.00°
Element x y z (fractional)
O (0.6644, 0.0593, 0.3742)
O (0.9407, 0.6051, 0.3742)
O (0.6644, 0.6051, 0.1258)
O (0.3949, 0.0593, 0.1258)
O (0.0593, 0.6644, 0.8742)
O (0.3949, 0.3356, 0.3742)
O (0.3356, 0.3949, 0.8742)
O (0.6051, 0.6644, 0.6258)
O (0.6051, 0.9407, 0.8742)
O (0.0593, 0.3949, 0.6258)
O (0.3356, 0.9407, 0.6258)
O (0.9407, 0.3356, 0.1258)
Ir (0.3333, 0.6667, 0.7500)
Ir (0.6667, 0.3333, 0.2500)
La (0.6667, 0.3333, 0.7500)
La (0.3333, 0.6667, 0.2500)
Ag (0.0000, 0.0000, 0.0000)
Ag (0.0000, 0.0000, 0.5000)

## Properties
Total DFT energy (no corrections)   -113.7 eV/cell
Uncorrected formation energy   -112.29 kJ/mol of atoms
Total magnetization   0.0 μB per formula unit
Calculated density   7.04 g/cm3

***

(2)
This record from Alexandria describes a relaxed K3U3AlTe8 crystal. The functional is PBE-GGA.

a = 8.8821 Å, b = 8.9262 Å, c = 9.8391 Å
α = 117.13°, β = 90.03°, γ = 119.85°
Element x y z (fractional)
U (0.0000, 0.5000, 0.5000)
U (0.5000, 0.5000, 0.5000)
U (0.5000, 0.0000, 0.5000)
Te (0.7750, 0.5511, 0.3047)
Te (0.2622, 0.5239, 0.2865)
Te (0.2207, 0.9712, 0.6938)
Te (0.2250, 0.4489, 0.6953)
Te (0.2513, 0.0290, 0.3054)
Te (0.7378, 0.4761, 0.7135)
Te (0.7793, 0.0288, 0.3062)
Te (0.7487, 0.9710, 0.6946)
K (0.0000, 0.5000, 0.0000)
K (0.5000, 0.5000, 0.0000)
K (0.0000, 0.0000, 0.0000)
Al (0.0000, 0.0000, 0.5000)

## Properties
Total DFT energy (no corrections)   -77.0 eV/cell
Uncorrected formation energy   -70.70 kJ/mol of atoms
Total magnetization   2.5 μB per formula unit
Calculated density   5.42 g/cm3

***

(3)
This record from Alexandria describes a relaxed U2CO crystal. The functional is PBE-GGA.

a = 3.4243 Å, b = 3.4243 Å, c = 11.8570 Å
α = 90.00°, β = 90.00°, γ = 120.00°
Element x y z (fractional)
O (0.6667, 0.3333, 0.2500)
O (0.3333, 0.6667, 0.7500)
U (0.6667, 0.3333, 0.6189)
U (0.3333, 0.6667, 0.1189)
U (0.3333, 0.6667, 0.3811)
U (0.6667, 0.3333, 0.8811)
C (0.0000, 0.0000, 0.5000)
C (0.0000, 0.0000, 0.0000)

## Properties
Energy above the most stable polymorph in this dataset   161.2 meV/atom
Total DFT energy (no corrections)   -82.7 eV/cell
Uncorrected formation energy   -110.50 kJ/mol of atoms
Total magnetization   3.2 μB per formula unit
Calculated density   13.90 g/cm3

***

(4)
This record from Alexandria describes a relaxed Bi2AuSe2 crystal. The functional is PBE-GGA.

a = 8.2385 Å, b = 8.2385 Å, c = 4.0861 Å
α = 90.00°, β = 90.00°, γ = 90.00°
Element x y z (fractional)
Bi (0.8060, 0.6940, 0.0000)
Bi (0.1940, 0.3060, 0.0000)
Bi (0.6940, 0.1940, 0.0000)
Bi (0.3060, 0.8060, 0.0000)
Se (0.8585, 0.3585, 0.5000)
Se (0.6415, 0.8585, 0.5000)
Se (0.1415, 0.6415, 0.5000)
Se (0.3585, 0.1415, 0.5000)
Au (0.0000, 0.0000, 0.0000)
Au (0.5000, 0.5000, 0.0000)

## Properties
Energy above the most stable polymorph in this dataset   126.2 meV/atom
Total DFT energy (no corrections)   -36.7 eV/cell
Uncorrected formation energy   -6.74 kJ/mol of atoms
Total magnetization   0.0 μB per formula unit
Calculated density   9.25 g/cm3

***

(5)
This record from Alexandria describes a relaxed Nd2SmIn3 crystal. The functional is PBE-GGA.

a = 3.7453 Å, b = 6.6594 Å, c = 14.9410 Å
α = 90.00°, β = 97.20°, γ = 90.00°
Element x y z (fractional)
Sm (0.3302, 0.7500, 0.6604)
Sm (0.6698, 0.2500, 0.3396)
In (0.2575, 0.2500, 0.5149)
In (0.4233, 0.4891, 0.8466)
In (0.5767, 0.9891, 0.1534)
In (0.4233, 0.0109, 0.8466)
In (0.5767, 0.5109, 0.1534)
In (0.7425, 0.7500, 0.4851)
Nd (0.9942, 0.7500, 0.9884)
Nd (0.0058, 0.2500, 0.0116)
Nd (0.1515, 0.7500, 0.3029)
Nd (0.8485, 0.2500, 0.6971)

## Properties
Energy above the most stable polymorph in this dataset   184.4 meV/atom
Total DFT energy (no corrections)   -48.7 eV/cell
DFT formation energy   -0.311 eV per atom
Total magnetization   0.0 μB per formula unit
Calculated density   7.04 g/cm3

***

(6)
This record from Alexandria describes a relaxed GeSbP2 crystal. The functional is PBE-GGA.

a = 3.5053 Å, b = 3.5053 Å, c = 8.5609 Å
α = 78.19°, β = 78.19°, γ = 60.00°
Element x y z (fractional)
P (0.1097, 0.1097, 0.6708)
P (0.8903, 0.8903, 0.3292)
Ge (0.5000, 0.5000, 0.5000)
Sb (0.0000, 0.0000, 0.0000)

## Properties
Energy above the most stable polymorph in this dataset   104.6 meV/atom
Total DFT energy (no corrections)   -18.1 eV/cell
Uncorrected formation energy   36.01 kJ/mol of atoms
Total magnetization   0.0 μB per formula unit
Calculated density   4.81 g/cm3

***

(7)
This record from Alexandria describes a relaxed K2AlIn crystal. The functional is PBE-GGA.

a = 6.6234 Å, b = 6.6234 Å, c = 3.6357 Å
α = 89.78°, β = 89.78°, γ = 122.52°
Element x y z (fractional)
K (0.5000, 0.5000, 0.0000)
K (0.0000, 0.0000, 0.0000)
In (0.0000, 0.5000, 0.5000)
Al (0.5000, 0.0000, 0.5000)

## Properties
Energy above the most stable polymorph in this dataset   267.9 meV/atom
Total DFT energy (no corrections)   -7.6 eV/cell
DFT formation energy   0.281 eV per atom
Total magnetization   0.0 μB per formula unit
Calculated density   2.72 g/cm3

***

(8)
This record from Alexandria describes a relaxed AgAsPt2 crystal. The functional is PBE-GGA.

a = 3.0453 Å, b = 3.0453 Å, c = 7.1678 Å
α = 90.00°, β = 90.00°, γ = 90.00°
Element x y z (fractional)
Pt (0.0000, 0.0000, 0.5220)
Pt (0.0000, 0.0000, 0.9780)
Ag (0.5000, 0.5000, 0.2500)
As (0.5000, 0.5000, 0.7500)

## Properties
Total DFT energy (no corrections)   -19.7 eV/cell
DFT formation energy   -0.037 eV per atom
Total magnetization   0.0 μB per formula unit
Calculated density   14.31 g/cm3

***

(9)
This record from Alexandria describes a relaxed MgSe2BrCl crystal. The functional is PBE-GGA.

a = 5.1235 Å, b = 5.1235 Å, c = 5.0980 Å
α = 90.00°, β = 90.00°, γ = 90.00°
Element x y z (fractional)
Se (0.0000, 0.5000, 0.0000)
Se (0.5000, 0.0000, 0.0000)
Cl (0.0000, 0.0000, 0.0000)
Br (0.0000, 0.0000, 0.5000)
Mg (0.5000, 0.5000, 0.5000)

## Properties
Energy above the most stable polymorph in this dataset   364.3 meV/atom
Total DFT energy (no corrections)   -10.0 eV/cell
Uncorrected formation energy   39.95 kJ/mol of atoms
Total magnetization   0.7 μB per formula unit
Calculated density   3.69 g/cm3

***

(10)
This record from Alexandria describes a relaxed TbDy2Bi crystal. The functional is PBE-GGA.

a = 3.5383 Å, b = 3.5383 Å, c = 12.1914 Å
α = 81.66°, β = 81.66°, γ = 60.00°
Element x y z (fractional)
Tb (0.5000, 0.5000, 0.5000)
Bi (0.0000, 0.0000, 0.0000)
Dy (0.0875, 0.0875, 0.7376)
Dy (0.9125, 0.9125, 0.2624)

## Properties
Energy above the most stable polymorph in this dataset   443.4 meV/atom
Total DFT energy (no corrections)   -17.6 eV/cell
DFT formation energy   0.021 eV per atom
Total magnetization   0.0 μB per formula unit
Calculated density   8.83 g/cm3

***

(11)
This record from Alexandria describes a relaxed KLiS3 crystal. The functional is PBE-GGA.

a = 4.7051 Å, b = 4.7051 Å, c = 4.7051 Å
α = 90.00°, β = 90.00°, γ = 90.00°
Element x y z (fractional)
S (0.5000, 0.0000, 0.0000)
S (0.0000, 0.0000, 0.5000)
S (0.0000, 0.5000, 0.0000)
Li (0.0000, 0.0000, 0.0000)
K (0.5000, 0.5000, 0.5000)

## Properties
Energy above the most stable polymorph in this dataset   0.0 meV/atom
Total DFT energy (no corrections)   -15.8 eV/cell
Uncorrected formation energy   -6.91 kJ/mol of atoms
Total magnetization   0.0 μB per formula unit
Calculated density   2.27 g/cm3

***

(12)
This record from Alexandria describes a relaxed PrY2Rh3 crystal. The functional is PBE-GGA.

a = 4.9234 Å, b = 4.9234 Å, c = 6.0368 Å
α = 90.00°, β = 90.00°, γ = 120.00°
Element x y z (fractional)
Pr (0.0000, 0.0000, 0.0000)
Rh (0.6667, 0.3333, 0.8242)
Rh (0.3333, 0.6667, 0.1758)
Rh (0.0000, 0.0000, 0.5000)
Y (0.6667, 0.3333, 0.3371)
Y (0.3333, 0.6667, 0.6629)

## Properties
Total DFT energy (no corrections)   -44.3 eV/cell
DFT formation energy   -0.749 eV per atom
Total magnetization   0.0 μB per formula unit
Calculated density   8.22 g/cm3

***

(13)
This record from Alexandria describes a relaxed LiCuNi2 crystal. The functional is PBE-GGA.

a = 4.1478 Å, b = 2.4388 Å, c = 4.4518 Å
α = 85.20°, β = 90.00°, γ = 90.00°
Element x y z (fractional)
Cu (0.5000, 0.2500, 0.2500)
Li (0.5000, 0.7500, 0.7500)
Ni (0.0000, 0.9842, 0.9987)
Ni (0.0000, 0.5158, 0.5013)

## Properties
Total DFT energy (no corrections)   -17.6 eV/cell
DFT formation energy   -0.007 eV per atom
Total magnetization   0.0 μB per formula unit
Calculated density   6.95 g/cm3

***

(14)
This record from Alexandria describes a relaxed LiAc2Au crystal. The functional is PBE-GGA.

a = 4.2331 Å, b = 4.9090 Å, c = 6.4775 Å
α = 112.27°, β = 90.00°, γ = 90.00°
Element x y z (fractional)
Li (0.0000, 0.6860, 0.3720)
Ac (0.0000, 0.9846, 0.9691)
Ac (0.5000, 0.2764, 0.5528)
Au (0.5000, 0.5523, 0.1046)

## Properties
Total DFT energy (no corrections)   -14.9 eV/cell
DFT formation energy   -0.371 eV per atom
Total magnetization   0.0 μB per formula unit
Calculated density   8.77 g/cm3

***

(15)
This record from Alexandria describes a relaxed TmMg4Pa crystal. The functional is PBE-GGA.

a = 5.9189 Å, b = 5.9189 Å, c = 5.9189 Å
α = 60.00°, β = 60.00°, γ = 60.00°
Element x y z (fractional)
Mg (0.1252, 0.6249, 0.6249)
Mg (0.6249, 0.1252, 0.6249)
Mg (0.6249, 0.6249, 0.1252)
Mg (0.6249, 0.6249, 0.6249)
Tm (0.0000, 0.0000, 0.0000)
Pa (0.2500, 0.2500, 0.2500)

## Properties
Total DFT energy (no corrections)   -19.4 eV/cell
DFT formation energy   0.164 eV per atom
Total magnetization   0.0 μB per formula unit
Calculated density   5.63 g/cm3

***

(16)
This record from Alexandria describes a relaxed Sr2RuBr crystal. The functional is PBE-GGA.

a = 3.6352 Å, b = 3.6352 Å, c = 8.3043 Å
α = 90.00°, β = 90.00°, γ = 90.21°
Element x y z (fractional)
Br (0.5000, 0.5000, 0.2500)
Sr (0.0000, 0.0000, 0.9709)
Sr (0.0000, 0.0000, 0.5291)
Ru (0.5000, 0.5000, 0.7500)

## Properties
Energy above the most stable polymorph in this dataset   0.0 meV/atom
Total DFT energy (no corrections)   -16.0 eV/cell
Uncorrected formation energy   -41.76 kJ/mol of atoms
Total magnetization   0.5 μB per formula unit
Calculated density   5.39 g/cm3

***

(17)
This record from Alexandria describes a relaxed Ti2Cu2Au crystal. The functional is PBE-GGA.

a = 7.6490 Å, b = 7.6490 Å, c = 2.6864 Å
α = 90.00°, β = 90.00°, γ = 90.00°
Element x y z (fractional)
Ti (0.1699, 0.3301, 0.0000)
Ti (0.3301, 0.8301, 0.0000)
Ti (0.6699, 0.1699, 0.0000)
Ti (0.8301, 0.6699, 0.0000)
Au (0.5000, 0.5000, 0.0000)
Au (0.0000, 0.0000, 0.0000)
Cu (0.8775, 0.3775, 0.5000)
Cu (0.1225, 0.6225, 0.5000)
Cu (0.3775, 0.1225, 0.5000)
Cu (0.6225, 0.8775, 0.5000)

## Properties
Energy above the most stable polymorph in this dataset   252.8 meV/atom
Total DFT energy (no corrections)   -53.6 eV/cell
DFT formation energy   0.094 eV per atom
Total magnetization   0.0 μB per formula unit
Calculated density   8.87 g/cm3

***

(18)
This record from Alexandria describes a relaxed CaY2PuAs4 crystal. The functional is PBE-GGA.

a = 4.1573 Å, b = 7.1901 Å, c = 7.1654 Å
α = 70.84°, β = 90.00°, γ = 90.00°
Element x y z (fractional)
Ca (0.0000, 0.5000, 0.5000)
As (0.5000, 0.2472, 0.7593)
As (0.0000, 0.2504, 0.2440)
As (0.0000, 0.7496, 0.7560)
As (0.5000, 0.7528, 0.2407)
Y (0.0000, 0.0000, 0.0000)
Y (0.5000, 0.0000, 0.5000)
Pu (0.5000, 0.5000, 0.0000)

## Properties
Total DFT energy (no corrections)   -58.0 eV/cell
DFT formation energy   -1.269 eV per atom
Total magnetization   4.2 μB per formula unit
Calculated density   6.25 g/cm3

***

(19)
This record from Alexandria describes a relaxed CsTl3Br crystal. The functional is PBE-GGA.

a = 6.9036 Å, b = 6.9036 Å, c = 6.9036 Å
α = 90.00°, β = 90.00°, γ = 90.00°
Element x y z (fractional)
Tl (0.0000, 0.0000, 0.5000)
Tl (0.0000, 0.5000, 0.0000)
Tl (0.5000, 0.0000, 0.0000)
Br (0.5000, 0.5000, 0.5000)
Cs (0.0000, 0.0000, 0.0000)

## Properties
Energy above the most stable polymorph in this dataset   645.7 meV/atom
Total DFT energy (no corrections)   -7.2 eV/cell
Uncorrected formation energy   47.66 kJ/mol of atoms
Total magnetization   0.0 μB per formula unit
Calculated density   4.17 g/cm3

***

(20)
This record from Alexandria describes a relaxed LaBSe3 crystal. The functional is PBE-GGA.

a = 5.9211 Å, b = 8.1922 Å, c = 10.0843 Å
α = 90.00°, β = 96.65°, γ = 90.00°
Element x y z (fractional)
B (0.0617, 0.0599, 0.4453)
B (0.4383, 0.5599, 0.0547)
B (0.5617, 0.4401, 0.9453)
B (0.9383, 0.9401, 0.5547)
Se (0.9415, 0.0235, 0.7495)
Se (0.4225, 0.2027, 0.9444)
Se (0.3915, 0.1300, 0.5140)
Se (0.5585, 0.5235, 0.7505)
Se (0.9225, 0.2973, 0.4444)
Se (0.0585, 0.9765, 0.2505)
Se (0.5775, 0.7973, 0.0556)
Se (0.1085, 0.6300, 0.9860)
Se (0.8915, 0.3700, 0.0140)
Se (0.4415, 0.4765, 0.2495)
Se (0.0775, 0.7027, 0.5556)
Se (0.6085, 0.8700, 0.4860)
La (0.4359, 0.8898, 0.7648)
La (0.0641, 0.3898, 0.7352)
La (0.9359, 0.6102, 0.2648)
La (0.5641, 0.1102, 0.2352)

## Properties
Energy above the most stable polymorph in this dataset   0.0 meV/atom
Total DFT energy (no corrections)   -109.0 eV/cell
Uncorrected formation energy   -99.96 kJ/mol of atoms
Total magnetization   0.0 μB per formula unit
Calculated density   5.29 g/cm3